[1]
Density functional theory data (GGA-PBE) for a relaxed LuPuPdRu crystal.

Cell and atoms, written as CIF:
```
data_LuPuPdRu
_space_group_name_H-M_alt 'F -4 3 m'
_space_group_IT_number 216
_space_group_name_Hall 'F -4 2 3'
_cell_length_a 6.828
_cell_length_b 6.828
_cell_length_c 6.828
_cell_angle_alpha 90.00
_cell_angle_beta 90.00
_cell_angle_gamma 90.00
loop_
_atom_site_label
_atom_site_type_symbol
_atom_site_fract_x
_atom_site_fract_y
_atom_site_fract_z
_atom_site_occupancy
Lu1 Lu 0.000 0.000 0.000 1
Pu1 Pu 0.000 0.000 0.500 1
Pd1 Pd 0.250 0.250 0.250 1
Ru1 Ru 0.250 0.250 0.750 1
```

Results
Crystal system: cubic
Uncorrected energy (eV/cell): -140.55


[2]
Density functional theory data (GGA-PBE) for a relaxed TbEuPdPb crystal.

Cell and atoms, written as CIF:
```
data_TbEuPdPb
_space_group_name_H-M_alt 'F -4 3 m'
_space_group_IT_number 216
_space_group_name_Hall 'F -4 2 3'
_cell_length_a 7.513
_cell_length_b 7.513
_cell_length_c 7.513
_cell_angle_alpha 90.00
_cell_angle_beta 90.00
_cell_angle_gamma 90.00
loop_
_atom_site_label
_atom_site_type_symbol
_atom_site_fract_x
_atom_site_fract_y
_atom_site_fract_z
_atom_site_occupancy
Tb1 Tb 0.000 0.000 0.000 1
Eu1 Eu 0.000 0.000 0.500 1
Pd1 Pd 0.250 0.250 0.250 1
Pb1 Pb 0.250 0.250 0.750 1
```

Results
Crystal system: cubic
Uncorrected energy (eV/cell): -104.08


[3]
Density functional theory data (GGA-PBE) for a relaxed Ac2LaTmS6 crystal.

Cell and atoms, written as CIF:
```
data_Ac2LaTmS6
_space_group_name_H-M_alt 'P 1 21/c 1'
_space_group_IT_number 14
_cell_length_a 7.043
_cell_length_b 7.618
_cell_length_c 12.398
_cell_angle_alpha 90.00
_cell_angle_beta 123.85
_cell_angle_gamma 90.00
loop_
_space_group_symop_operation_xyz
'x,y,z'
'-x,-y,-z'
'-x,y+1/2,-z+1/2'
'x,-y+1/2,z+1/2'
loop_
_atom_site_label
_atom_site_type_symbol
_atom_site_fract_x
_atom_site_fract_y
_atom_site_fract_z
_atom_site_occupancy
Ac1 Ac 0.218 0.084 0.249 1
La1 La 0.500 0.000 0.000 1
Tm1 Tm 0.000 0.000 0.500 1
S1 S 0.106 0.197 0.929 1
S2 S 0.238 0.685 0.931 1
S3 S 0.378 0.053 0.741 1
```

Results
Crystal system: monoclinic
Energy relative to the elements, uncorrected (eV per atom): -2.147
Uncorrected energy (eV/cell): -127.70


[4]
Density functional theory data (GGA-PBE) for a relaxed TlHgBF6 crystal.

Cell and atoms, written as CIF:
```
data_TlHgBF6
_space_group_name_H-M_alt 'C 1 2 1'
_space_group_IT_number 5
_cell_length_a 4.869
_cell_length_b 12.909
_cell_length_c 5.847
_cell_angle_alpha 90.00
_cell_angle_beta 97.36
_cell_angle_gamma 90.00
loop_
_space_group_symop_operation_xyz
'x,y,z'
'-x,y,-z'
'x+1/2,y+1/2,z'
'-x+1/2,y+1/2,-z'
loop_
_atom_site_label
_atom_site_type_symbol
_atom_site_fract_x
_atom_site_fract_y
_atom_site_fract_z
_atom_site_occupancy
Tl1 Tl 0.000 0.000 0.000 1
Hg1 Hg 0.000 0.323 0.500 1
B1 B 0.000 0.591 0.500 1
F1 F 0.110 0.526 0.336 1
F2 F 0.205 0.832 0.226 1
F3 F 0.213 0.652 0.617 1
```

Results
Crystal system: monoclinic
Energy relative to the elements, uncorrected (eV per atom): -2.194
Uncorrected energy (eV/cell): -80.63